(i)
AcHo2Er after structural relaxation. Source: Alexandria, functional PBE.

Cell lengths 4.0779, 4.0779, 8.3392 Å; angles 90.00, 90.00, 90.00 degrees
Closest atoms and distances in Å follow each position.
Positions (direct):
Ho  0.0000  0.0000  0.7804  4 Er 3.42, 1 Ho 3.66, 4 Ac 3.71
Ac  0.5000  0.5000  0.5000  8 Ho 3.71, 4 Ac 4.08
Ho  0.0000  0.0000  0.2196  4 Er 3.42, 1 Ho 3.66, 4 Ac 3.71
Er  0.5000  0.5000  0.0000  8 Ho 3.42

***

(ii)
AcHo2Er after structural relaxation. Source: Alexandria, functional PBE.

Cell lengths 5.7932, 5.7932, 5.7932 Å; angles 60.00, 60.00, 60.00 degrees
Closest atoms and distances in Å follow each position.
Positions (direct):
Ac  0.0000  0.0000  0.0000  8 Ho 3.55
Ho  0.2500  0.2500  0.2500  4 Er 3.55, 4 Ac 3.55
Ho  0.7500  0.7500  0.7500  4 Er 3.55, 4 Ac 3.55
Er  0.5000  0.5000  0.5000  8 Ho 3.55

***

(iii)
AcHo2Er after structural relaxation. Source: Alexandria, functional PBE.

Cell lengths 5.1569, 5.1332, 5.1332 Å; angles 90.00, 90.00, 90.00 degrees
Closest atoms and distances in Å follow each position.
Positions (direct):
Er  0.5000  0.5000  0.5000  4 Ac 3.63, 8 Ho 3.64
Ho  0.0000  0.0000  0.5000  4 Ho 3.63, 4 Ac 3.64, 4 Er 3.64
Ac  0.5000  0.0000  0.0000  4 Er 3.63, 8 Ho 3.64
Ho  0.0000  0.5000  0.0000  4 Ho 3.63, 4 Ac 3.64, 4 Er 3.64

***

(iv)
AcHo2Er after structural relaxation. Source: Alexandria, functional PBE.

Cell lengths 3.6800, 3.6800, 11.7964 Å; angles 81.03, 81.03, 60.00 degrees
Closest atoms and distances in Å follow each position.
Positions (direct):
Er  0.5003  0.5003  0.4990  6 Ho 3.48-3.50, 6 Er 3.68
Ac  0.6663  0.6663  0.0012  6 Ac 3.68, 6 Ho 3.69-3.72
Ho  0.0872  0.0872  0.7384  3 Er 3.50, 6 Ho 3.68, 3 Ac 3.72
Ho  0.2462  0.2462  0.2614  3 Er 3.48, 6 Ho 3.68, 3 Ac 3.69

***

Which structure is the most stable? The one labeled (iv).

***

(i)
AcHo2Er after structural relaxation. Source: Alexandria, functional PBE.

Cell lengths 3.5566, 3.5566, 12.7619 Å; angles 81.99, 81.99, 60.00 degrees
Closest atoms and distances in Å follow each position.
Positions (direct):
Er  0.5000  0.5000  0.5000  6 Ho 3.46, 6 Er 3.56
Ac  0.0000  0.0000  0.0000  2 Ho 3.51, 6 Ac 3.56
Ho  0.0930  0.0930  0.7210  3 Er 3.46, 1 Ac 3.51, 6 Ho 3.56
Ho  0.9070  0.9070  0.2790  3 Er 3.46, 1 Ac 3.51, 6 Ho 3.56

***

(ii)
AcHo2Er after structural relaxation. Source: Alexandria, functional PBE.

Cell lengths 3.6008, 5.5010, 14.0541 Å; angles 90.00, 97.31, 90.00 degrees
Closest atoms and distances in Å follow each position.
Positions (direct):
Ho  0.1537  0.1779  0.0179  6 Ho 3.57-3.60, 2 Er 3.73, 4 Ac 3.84
Er  0.7708  0.1778  0.2520  4 Ho 3.33-3.51, 6 Er 3.48-3.60
Ac  0.5000  0.1779  0.7104  1 Ho 3.38, 4 Ac 3.59-3.60
Ho  0.9281  0.6778  0.5680  6 Ho 3.57-3.60, 2 Er 3.73, 4 Ac 3.84
Er  0.3109  0.6778  0.3336  4 Ho 3.33-3.51, 6 Er 3.48-3.60
Ho  0.3779  0.1778  0.4679  4 Er 3.33-3.51, 1 Ac 3.38, 6 Ho 3.57-3.60
Ac  0.5818  0.6779  0.8757  1 Ho 3.38, 4 Ac 3.59-3.60
Ho  0.7038  0.6778  0.1179  4 Er 3.33-3.51, 1 Ac 3.38, 6 Ho 3.57-3.60

***

Which structure is the most stable? The one labeled (ii).

***

(i)
AcHo5Er2 after structural relaxation. Source: Alexandria, functional PBE.

Cell lengths 3.5735, 8.7936, 8.7936 Å; angles 78.27, 78.28, 78.28 degrees
Closest atoms and distances in Å follow each position.
Positions (direct):
Ho  0.3653  0.4082  0.8612  3 Er 3.38-3.45, 7 Ho 3.55-3.57
Ho  0.6347  0.1388  0.5918  3 Er 3.38-3.45, 7 Ho 3.55-3.57
Ho  0.3653  0.8612  0.4082  3 Er 3.38-3.45, 7 Ho 3.55-3.57
Ho  0.6347  0.5918  0.1388  3 Er 3.38-3.45, 7 Ho 3.55-3.57
Ac  0.0000  0.0000  0.0000  2 Ac 3.57, 4 Er 3.71, 8 Ho 3.94
Er  0.7471  0.7529  0.7529  7 Ho 3.33-3.45, 2 Er 3.57, 2 Ac 3.71
Er  0.2529  0.2471  0.2471  7 Ho 3.33-3.45, 2 Er 3.57, 2 Ac 3.71
Ho  0.0000  0.5000  0.5000  2 Er 3.33, 10 Ho 3.56-3.57

***

(ii)
AcHo5Er2 after structural relaxation. Source: Alexandria, functional PBE.

Cell lengths 7.1649, 7.1653, 20.1085 Å; angles 90.00, 90.00, 90.00 degrees
Closest atoms and distances in Å follow each position.
Positions (direct):
Er  0.2567  0.0000  0.5000  4 Er 3.49-3.68, 6 Ho 3.54-3.59, 2 Ac 3.59
Ho  0.5000  0.2502  0.6248  8 Ho 3.54-3.58, 4 Er 3.54-3.58
Ac  0.0000  0.2503  0.8751  4 Er 3.58-3.59, 8 Ho 3.58-3.59
Ho  0.2565  0.5000  0.5000  6 Ho 3.49-3.68, 4 Er 3.54-3.58, 2 Ac 3.59
Er  0.7433  0.5000  0.0000  4 Er 3.49-3.68, 6 Ho 3.54-3.59, 2 Ac 3.59
Ho  0.0000  0.2503  0.6249  8 Ho 3.58-3.60, 2 Ac 3.58, 2 Er 3.59
Ho  0.7433  0.9996  0.2500  8 Ho 3.49-3.68, 2 Er 3.55, 2 Ac 3.59
Ho  0.0000  0.7503  0.8751  8 Ho 3.58-3.60, 2 Ac 3.58, 2 Er 3.59
Er  0.5000  0.2496  0.3752  2 Er 3.54, 8 Ho 3.54-3.58, 2 Ac 3.58
Ho  0.2567  0.9996  0.2500  8 Ho 3.49-3.68, 2 Er 3.55, 2 Ac 3.59
Ho  0.2565  0.0000  0.0000  6 Ho 3.49-3.68, 4 Er 3.54-3.58, 2 Ac 3.59
Er  0.7433  0.0000  0.5000  4 Er 3.49-3.68, 6 Ho 3.54-3.59, 2 Ac 3.59
Ho  0.5000  0.7498  0.3752  8 Ho 3.54-3.58, 4 Er 3.54-3.58
Er  0.5000  0.2504  0.8752  2 Er 3.54, 8 Ho 3.54-3.58, 2 Ac 3.58
Ac  0.0000  0.7497  0.1249  4 Er 3.58-3.59, 8 Ho 3.58-3.59
Er  0.2567  0.5000  0.0000  4 Er 3.49-3.68, 6 Ho 3.54-3.59, 2 Ac 3.59
Ho  0.7433  0.4996  0.2500  8 Ho 3.49-3.68, 2 Er 3.55, 2 Ac 3.59
Ac  0.0000  0.7503  0.6249  4 Er 3.58-3.59, 8 Ho 3.58-3.59
Ho  0.0000  0.2497  0.1249  8 Ho 3.58-3.60, 2 Ac 3.58, 2 Er 3.59
Ho  0.7433  0.5004  0.7500  8 Ho 3.49-3.68, 2 Er 3.55, 2 Ac 3.59
Ho  0.2567  0.4996  0.2500  8 Ho 3.49-3.68, 2 Er 3.55, 2 Ac 3.59
Ho  0.2567  0.0004  0.7500  8 Ho 3.49-3.68, 2 Er 3.55, 2 Ac 3.59
Ho  0.2567  0.5004  0.7500  8 Ho 3.49-3.68, 2 Er 3.55, 2 Ac 3.59
Ho  0.5000  0.2498  0.1248  8 Ho 3.54-3.58, 4 Er 3.54-3.58
Ho  0.7435  0.0000  0.0000  6 Ho 3.49-3.68, 4 Er 3.54-3.58, 2 Ac 3.59
Er  0.5000  0.7496  0.1248  2 Er 3.54, 8 Ho 3.54-3.58, 2 Ac 3.58
Ac  0.0000  0.2497  0.3751  4 Er 3.58-3.59, 8 Ho 3.58-3.59
Ho  0.7433  0.0004  0.7500  8 Ho 3.49-3.68, 2 Er 3.55, 2 Ac 3.59
Ho  0.5000  0.7502  0.8752  8 Ho 3.54-3.58, 4 Er 3.54-3.58
Ho  0.0000  0.7497  0.3751  8 Ho 3.58-3.60, 2 Ac 3.58, 2 Er 3.59
Er  0.5000  0.7504  0.6248  2 Er 3.54, 8 Ho 3.54-3.58, 2 Ac 3.58
Ho  0.7435  0.5000  0.5000  6 Ho 3.49-3.68, 4 Er 3.54-3.58, 2 Ac 3.59

***

Which structure is the most stable? The one labeled (i).

***

(i)
AcHo4Er7 after structural relaxation. Source: Alexandria, functional PBE.

Cell lengths 6.0031, 11.3309, 6.7942 Å; angles 82.81, 63.78, 74.64 degrees
Closest atoms and distances in Å follow each position.
Positions (direct):
Ac  0.0000  0.0000  0.0000  4 Er 3.00-3.25
Er  0.9563  0.3615  0.7259  4 Er 3.39-3.46, 4 Ho 3.55-3.68
Ho  0.2716  0.3095  0.1474  6 Er 3.21-3.59
Ho  0.7284  0.6905  0.8526  6 Er 3.21-3.59
Er  0.7843  0.9177  0.5137  2 Er 3.11-3.39, 4 Ho 3.21-3.40, 1 Ac 3.25
Er  0.5000  0.0000  0.0000  2 Ac 3.00, 2 Er 3.11
Er  0.2157  0.0823  0.4863  2 Er 3.11-3.39, 4 Ho 3.21-3.40, 1 Ac 3.25
Er  0.6407  0.4831  0.2356  5 Ho 3.24-3.59, 4 Er 3.25-3.46
Ho  0.6202  0.2248  0.5349  8 Er 3.35-3.73
Ho  0.3798  0.7752  0.4651  8 Er 3.35-3.73
Er  0.3593  0.5169  0.7644  5 Ho 3.24-3.59, 4 Er 3.25-3.46
Er  0.0437  0.6385  0.2741  4 Er 3.39-3.46, 4 Ho 3.55-3.68

***

(ii)
AcHo4Er7 after structural relaxation. Source: Alexandria, functional PBE.

Cell lengths 5.6491, 6.2484, 21.7545 Å; angles 90.00, 90.00, 90.00 degrees
Closest atoms and distances in Å follow each position.
Positions (direct):
Ho  0.5129  0.6668  0.8322  9 Er 3.49-3.65, 3 Ho 3.52-3.55
Er  0.0129  0.3252  0.5000  8 Er 3.53-3.71, 2 Ac 3.56, 2 Ho 3.65
Ho  0.5129  0.6668  0.1678  9 Er 3.49-3.65, 3 Ho 3.52-3.55
Er  0.5129  0.1686  0.5864  4 Ho 3.49-3.60, 6 Er 3.50-3.76, 2 Ac 3.63-3.66
Ho  0.0129  0.3332  0.6678  9 Er 3.49-3.65, 3 Ho 3.52-3.55
Er  0.5129  0.1686  0.4136  4 Ho 3.49-3.60, 6 Er 3.50-3.76, 2 Ac 3.63-3.66
Er  0.0129  0.8366  0.4133  6 Er 3.50-3.77, 4 Ho 3.50-3.61, 2 Ac 3.55
Ho  0.0129  0.3313  0.8310  8 Er 3.49-3.60, 3 Ho 3.52-3.55, 1 Ac 3.68
Ac  0.0129  0.3281  0.0000  10 Er 3.55-3.66, 2 Ho 3.68
Er  0.0129  0.8314  0.9136  4 Ho 3.49-3.60, 6 Er 3.50-3.76, 2 Ac 3.63-3.66
Er  0.0129  0.8314  0.0864  4 Ho 3.49-3.60, 6 Er 3.50-3.76, 2 Ac 3.63-3.66
Er  0.0129  0.8336  0.7500  8 Ho 3.49-3.60, 4 Er 3.51-3.56
Ac  0.5129  0.6719  0.5000  10 Er 3.55-3.66, 2 Ho 3.68
Er  0.5129  0.1634  0.0867  6 Er 3.50-3.77, 4 Ho 3.50-3.61, 2 Ac 3.55
Er  0.5129  0.1664  0.7500  8 Ho 3.49-3.60, 4 Er 3.51-3.56
Er  0.0129  0.8366  0.5867  6 Er 3.50-3.77, 4 Ho 3.50-3.61, 2 Ac 3.55
Er  0.5129  0.1664  0.2500  8 Ho 3.49-3.60, 4 Er 3.51-3.56
Ho  0.0129  0.3313  0.1690  8 Er 3.49-3.60, 3 Ho 3.52-3.55, 1 Ac 3.68
Ho  0.5129  0.6687  0.3310  8 Er 3.49-3.60, 3 Ho 3.52-3.55, 1 Ac 3.68
Er  0.0129  0.8336  0.2500  8 Ho 3.49-3.60, 4 Er 3.51-3.56
Ho  0.5129  0.6687  0.6690  8 Er 3.49-3.60, 3 Ho 3.52-3.55, 1 Ac 3.68
Er  0.5129  0.6748  0.0000  8 Er 3.53-3.71, 2 Ac 3.56, 2 Ho 3.65
Er  0.5129  0.1634  0.9133  6 Er 3.50-3.77, 4 Ho 3.50-3.61, 2 Ac 3.55
Ho  0.0129  0.3332  0.3322  9 Er 3.49-3.65, 3 Ho 3.52-3.55

***

Which structure is the most stable? The one labeled (ii).

***

(i)
AcHo4Er6 after structural relaxation. Source: Alexandria, functional PBE.

Cell lengths 5.6937, 5.6522, 25.4661 Å; angles 90.00, 90.00, 120.24 degrees
Closest atoms and distances in Å follow each position.
Positions (direct):
Ho  0.1643  0.3285  0.4589  8 Er 3.43-3.61, 2 Ho 3.80-3.83
Er  0.1588  0.3177  0.3209  4 Ho 3.51-3.59, 7 Er 3.61-3.86, 3 Ac 3.72-3.75
Ho  0.5088  0.0175  0.6218  5 Er 3.10-3.32
Ho  0.1643  0.3285  0.0411  8 Er 3.43-3.61, 2 Ho 3.80-3.83
Er  0.1735  0.3471  0.9008  7 Ho 3.32-3.61
Ho  0.4912  0.9825  0.1218  5 Er 3.10-3.32
Er  0.4918  0.9836  0.2500  3 Ac 3.26-3.27, 2 Ho 3.27
Ho  0.8357  0.6715  0.9589  8 Er 3.43-3.61, 2 Ho 3.80-3.83
Er  0.8265  0.6529  0.0992  7 Ho 3.32-3.61
Ho  0.8357  0.6715  0.5411  8 Er 3.43-3.61, 2 Ho 3.80-3.83
Er  0.5082  0.0164  0.7500  3 Ac 3.26-3.27, 2 Ho 3.27
Ho  0.5088  0.0175  0.8782  5 Er 3.10-3.32
Er  0.1588  0.3177  0.1791  4 Ho 3.51-3.59, 7 Er 3.61-3.86, 3 Ac 3.72-3.75
Er  0.5000  0.0000  0.0000  8 Ho 3.10-3.44
Er  0.8265  0.6529  0.4008  7 Ho 3.32-3.61
Ho  0.4912  0.9825  0.3782  5 Er 3.10-3.32
Ac  0.8261  0.6521  0.2500  3 Er 3.26-3.27
Er  0.8412  0.6823  0.8209  4 Ho 3.51-3.59, 7 Er 3.61-3.86, 3 Ac 3.72-3.75
Er  0.8412  0.6823  0.6791  4 Ho 3.51-3.59, 7 Er 3.61-3.86, 3 Ac 3.72-3.75
Er  0.1735  0.3471  0.5992  7 Ho 3.32-3.61
Ac  0.1739  0.3479  0.7500  3 Er 3.26-3.27
Er  0.5000  0.0000  0.5000  8 Ho 3.10-3.44

***

(ii)
AcHo4Er6 after structural relaxation. Source: Alexandria, functional PBE.

Cell lengths 7.8490, 7.8490, 8.3900 Å; angles 117.89, 117.89, 90.00 degrees
Closest atoms and distances in Å follow each position.
Positions (direct):
Ho  0.2348  0.2348  0.1451  4 Er 3.08-3.40, 2 Ho 3.13
Er  0.5768  0.5768  0.6183  4 Ho 3.20-3.48
Ho  0.0897  0.7652  0.8549  4 Er 3.08-3.40, 2 Ho 3.13
Ac  0.5000  0.5000  0.0000  8 Er 3.82-3.92, 4 Ho 3.86
Er  0.0415  0.0415  0.6183  4 Ho 3.20-3.48
Er  0.0000  0.5000  0.0000  4 Ho 3.08
Ho  0.7652  0.0897  0.8549  4 Er 3.08-3.40, 2 Ho 3.13
Er  0.5000  0.0000  0.0000  4 Ho 3.08
Ho  0.9103  0.9103  0.1451  4 Er 3.08-3.40, 2 Ho 3.13
Er  0.4232  0.9585  0.3817  4 Ho 3.20-3.48
Er  0.9585  0.4232  0.3817  4 Ho 3.20-3.48

***

Which structure is the most stable? The one labeled (i).